(1)
First-principles (meta-GGA SCAN) data for a crystal of KFeCl2 relaxed with PBEsol, as listed in Alexandria via LeMat-Bulk.

Calculated values
- polymorph energy (0 for the lowest one) (meV/atom) = 54
- N(E_F) (states/eV per cell) = 1.36
- E_form (uncorrected) (eV per atom) = -1.04

```
KFeCl2
1.0
6.785 0.000 0.000
0.000 3.749 0.000
-2.113 0.000 6.500
K Fe Cl
2 2 4
Direct
0.000 0.000 0.000
0.500 0.500 0.000
0.000 0.500 0.500
0.500 0.000 0.500
0.229 0.000 0.688
0.271 0.500 0.312
0.729 0.500 0.688
0.771 0.000 0.312
```


(2)
First-principles (meta-GGA SCAN) data for a crystal of KFeCl3 relaxed with PBEsol, as listed in Alexandria via LeMat-Bulk.

Calculated values
- E_form (uncorrected) (eV per atom) = -1.52

```
KFeCl3
1.0
8.558 0.000 0.000
0.000 3.668 0.000
0.000 0.000 14.203
K Fe Cl
4 4 12
Direct
0.063 0.250 0.171
0.437 0.750 0.671
0.563 0.250 0.329
0.937 0.750 0.829
0.150 0.750 0.447
0.350 0.250 0.947
0.650 0.750 0.053
0.850 0.250 0.553
0.028 0.750 0.601
0.180 0.750 0.002
0.229 0.250 0.798
0.271 0.750 0.298
0.320 0.250 0.502
0.472 0.250 0.101
0.528 0.750 0.899
0.680 0.750 0.498
0.729 0.250 0.702
0.771 0.750 0.202
0.820 0.250 0.998
0.972 0.250 0.399
```


(3)
First-principles (meta-GGA SCAN) data for a crystal of KFe2Cl relaxed with PBEsol, as listed in Alexandria via LeMat-Bulk.

Calculated values
- polymorph energy (0 for the lowest one) (meV/atom) = 0
- N(E_F) (states/eV per cell) = 4.31
- E_form (uncorrected) (eV per atom) = -0.09

```
KFe2Cl
1.0
3.092 0.000 0.000
0.000 3.262 0.000
0.000 0.000 14.999
K Fe Cl
2 4 2
Direct
0.000 0.000 0.000
0.000 0.500 0.500
0.000 0.000 0.758
0.000 0.500 0.258
0.500 0.000 0.322
0.500 0.500 0.822
0.500 0.000 0.631
0.500 0.500 0.131
```